# YUOs (PBE, relaxed)
data_YUOs
_cell_length_a 4.316
_cell_length_b 5.122
_cell_length_c 7.082
_cell_angle_alpha 90.00
_cell_angle_beta 90.00
_cell_angle_gamma 90.00
_symmetry_space_group_name_H-M 'P 1'
_symmetry_Int_Tables_number 1
loop_
_symmetry_equiv_pos_as_xyz
'x,y,z'
loop_
_atom_site_label
_atom_site_fract_x
_atom_site_fract_y
_atom_site_fract_z
_atom_site_occupancy
Y1 0.000 0.000 0.922 1
Y2 0.500 0.500 0.078 1
Os1 0.000 0.500 0.337 1
Os2 0.500 0.000 0.663 1
U1 0.500 0.500 0.590 1
U2 0.000 0.000 0.410 1
# * theoretical density: 10970 kg/m3
# * crystal system: orthorhombic
# * energy: -57.6 eV per cell
# * symmetry: Pmmn (59)


# CeInGa (PBE, relaxed)
data_CeInGa
_cell_length_a 3.467
_cell_length_b 3.467
_cell_length_c 6.577
_cell_angle_alpha 105.28
_cell_angle_beta 105.28
_cell_angle_gamma 90.00
_symmetry_space_group_name_H-M 'P 1'
_symmetry_Int_Tables_number 1
loop_
_symmetry_equiv_pos_as_xyz
'x,y,z'
loop_
_atom_site_label
_atom_site_fract_x
_atom_site_fract_y
_atom_site_fract_z
_atom_site_occupancy
Ga1 0.324 0.324 0.649 1
In1 0.685 0.685 0.370 1
Ce1 0.991 0.991 0.981 1
# * theoretical density: 7347 kg/m3
# * crystal system: tetragonal
# * energy: -12.5 eV per cell
# * symmetry: I4mm (107)


# BaReCl2 (PBE, relaxed)
data_BaReCl2
_cell_length_a 5.538
_cell_length_b 5.538
_cell_length_c 5.538
_cell_angle_alpha 60.00
_cell_angle_beta 60.00
_cell_angle_gamma 60.00
_symmetry_space_group_name_H-M 'P 1'
_symmetry_Int_Tables_number 1
loop_
_symmetry_equiv_pos_as_xyz
'x,y,z'
loop_
_atom_site_label
_atom_site_fract_x
_atom_site_fract_y
_atom_site_fract_z
_atom_site_occupancy
Re1 0.750 0.750 0.750 1
Cl1 0.000 0.000 0.000 1
Cl2 0.250 0.250 0.250 1
Ba1 0.500 0.500 0.500 1
# * theoretical density: 5453 kg/m3
# * crystal system: cubic
# * formation energy without anion corrections: 0.340 eV per atom
# * symmetry: F-43m (216)


# SrLuGaHg (PBE, relaxed)
data_SrLuGaHg
_cell_length_a 5.321
_cell_length_b 5.321
_cell_length_c 5.321
_cell_angle_alpha 60.00
_cell_angle_beta 60.00
_cell_angle_gamma 60.00
_symmetry_space_group_name_H-M 'P 1'
_symmetry_Int_Tables_number 1
loop_
_symmetry_equiv_pos_as_xyz
'x,y,z'
loop_
_atom_site_label
_atom_site_fract_x
_atom_site_fract_y
_atom_site_fract_z
_atom_site_occupancy
Lu1 0.500 0.500 0.500 1
Hg1 0.750 0.750 0.750 1
Sr1 0.000 0.000 0.000 1
Ga1 0.250 0.250 0.250 1
# * theoretical density: 8305 kg/m3
# * crystal system: cubic
# * energy: -11.1 eV per cell
# * symmetry: F-43m (216)


# GdTmRh2 (PBE, relaxed)
data_GdTmRh2
_cell_length_a 3.370
_cell_length_b 4.870
_cell_length_c 4.870
_cell_angle_alpha 90.00
_cell_angle_beta 90.00
_cell_angle_gamma 90.00
_symmetry_space_group_name_H-M 'P 1'
_symmetry_Int_Tables_number 1
loop_
_symmetry_equiv_pos_as_xyz
'x,y,z'
loop_
_atom_site_label
_atom_site_fract_x
_atom_site_fract_y
_atom_site_fract_z
_atom_site_occupancy
Rh1 0.000 0.000 0.500 1
Rh2 0.000 0.500 0.000 1
Tm1 0.500 0.000 0.000 1
Gd1 0.500 0.500 0.500 1
# * theoretical density: 11050 kg/m3
# * crystal system: tetragonal
# * energy: -36.7 eV per cell
# * symmetry: P4/mmm (123)


# LiCaSe2 (PBE, relaxed)
data_LiCaSe2
_cell_length_a 5.813
_cell_length_b 5.813
_cell_length_c 4.309
_cell_angle_alpha 79.52
_cell_angle_beta 79.52
_cell_angle_gamma 39.91
_symmetry_space_group_name_H-M 'P 1'
_symmetry_Int_Tables_number 1
loop_
_symmetry_equiv_pos_as_xyz
'x,y,z'
loop_
_atom_site_label
_atom_site_fract_x
_atom_site_fract_y
_atom_site_fract_z
_atom_site_occupancy
Se1 0.768 0.768 0.593 1
Se2 0.013 0.013 0.091 1
Li1 0.234 0.234 0.214 1
Ca1 0.485 0.485 0.602 1
# * theoretical density: 3712 kg/m3
# * crystal system: monoclinic
# * formation energy without anion corrections: -1.231 eV per atom
# * symmetry: Cm (8)


# KLaBr2 (PBE, relaxed)
data_KLaBr2
_cell_length_a 5.703
_cell_length_b 5.703
_cell_length_c 5.703
_cell_angle_alpha 60.00
_cell_angle_beta 60.00
_cell_angle_gamma 60.00
_symmetry_space_group_name_H-M 'P 1'
_symmetry_Int_Tables_number 1
loop_
_symmetry_equiv_pos_as_xyz
'x,y,z'
loop_
_atom_site_label
_atom_site_fract_x
_atom_site_fract_y
_atom_site_fract_z
_atom_site_occupancy
Br1 0.000 0.000 0.000 1
Br2 0.250 0.250 0.250 1
K1 0.500 0.500 0.500 1
La1 0.750 0.750 0.750 1
# * theoretical density: 4276 kg/m3
# * crystal system: cubic
# * formation energy without anion corrections: -0.526 eV per atom
# * symmetry: F-43m (216)


Computed magnetic moment, in the same sequence as the records: 1.7, 1.5, 5.0, 0.0, 7.0, 0.0, 1.9 μB/f.u..
Computed density of states at the Fermi level, in the same sequence as the records: 2.04, 2.13, 0.64, 0.71, 0.58, 0.46, 1.41 states/eV/atom.